! CaYSi GGA-PBEsol optimized geometry; values from VASP
! - formation energy (no corrections) (eV per formula unit) = -0.90
! - spin magnetization (μB per cell) = 0.000
&SYSTEM
  ibrav = 0, nat = 3, ntyp = 3
/
ATOMIC_SPECIES
Ca 40.08 Ca.upf
Si 28.09 Si.upf
Y 88.91 Y.upf
CELL_PARAMETERS angstrom
3.350 0.000 0.000
0.000 3.802 0.000
-1.675 -1.901 6.262
ATOMIC_POSITIONS crystal
Ca 0.032 0.032 0.064
Si 0.676 0.676 0.351
Y 0.292 0.292 0.584